a.
! FeCoSb4 | Alexandria | GGA-PBEsol | optimized geometry; values from VASP
&SYSTEM
  ibrav = 0, nat = 6, ntyp = 3
/
ATOMIC_SPECIES
Fe 55.84 Fe.upf
Co 58.93 Co.upf
Sb 121.76 Sb.upf
CELL_PARAMETERS angstrom
0.000 4.201 4.201
4.201 0.000 4.201
4.201 4.201 0.000
ATOMIC_POSITIONS crystal
Fe 0.000 0.000 0.000
Co 0.250 0.250 0.250
Sb 0.126 0.625 0.625
Sb 0.625 0.126 0.625
Sb 0.625 0.625 0.126
Sb 0.625 0.625 0.625
! **Crystal system**: cubic
! **Total magnetization**: 5.22 μB per formula unit
! **DOS(E_F)**: 1.641 states/eV per atom
! **Calculated volume**: 24.705 Å³/atom

b.
! FeCoSb4 | Alexandria | GGA-PBEsol | optimized geometry; values from VASP
&SYSTEM
  ibrav = 0, nat = 6, ntyp = 3
/
ATOMIC_SPECIES
Fe 55.84 Fe.upf
Co 58.93 Co.upf
Sb 121.76 Sb.upf
CELL_PARAMETERS angstrom
5.670 0.000 0.000
0.000 3.218 0.000
-0.017 0.000 6.386
ATOMIC_POSITIONS crystal
Fe 0.000 0.000 0.000
Co 0.500 0.500 0.500
Sb 0.196 0.000 0.354
Sb 0.305 0.500 0.855
Sb 0.695 0.500 0.145
Sb 0.804 0.000 0.646
! **Crystal system**: monoclinic
! **Total magnetization**: 0.33 μB per formula unit
! **DOS(E_F)**: 0.578 states/eV per atom
! **Calculated volume**: 19.419 Å³/atom

Name the most stable of them. b.

a.
! FeCoSe2 | Alexandria | GGA-PBEsol | optimized geometry; values from VASP
&SYSTEM
  ibrav = 0, nat = 4, ntyp = 3
/
ATOMIC_SPECIES
Fe 55.84 Fe.upf
Co 58.93 Co.upf
Se 78.96 Se.upf
CELL_PARAMETERS angstrom
3.190 0.000 0.000
0.000 3.190 0.000
0.000 0.000 6.107
ATOMIC_POSITIONS crystal
Fe 0.000 0.000 0.000
Co 0.500 0.500 0.770
Se 0.000 0.000 0.626
Se 0.500 0.500 0.148
! **Crystal system**: tetragonal
! **Total magnetization**: 1.49 μB per formula unit
! **DOS(E_F)**: 1.081 states/eV per atom
! **Calculated volume**: 15.541 Å³/atom

b.
! FeCoSe2 | Alexandria | GGA-PBEsol | optimized geometry; values from VASP
&SYSTEM
  ibrav = 0, nat = 4, ntyp = 3
/
ATOMIC_SPECIES
Fe 55.84 Fe.upf
Co 58.93 Co.upf
Se 78.96 Se.upf
CELL_PARAMETERS angstrom
3.612 0.000 0.000
0.000 3.612 0.000
-0.012 0.000 5.344
ATOMIC_POSITIONS crystal
Fe 0.000 0.000 0.000
Co 0.500 0.500 0.000
Se 0.501 0.000 0.258
Se 0.999 0.500 0.742
! **Crystal system**: monoclinic
! **Total magnetization**: 0.00 μB per formula unit
! **DOS(E_F)**: 0.402 states/eV per atom
! **Calculated volume**: 17.435 Å³/atom

Name the most stable of them. b.

a.
! Fe2CoTc | Alexandria | GGA-PBEsol | optimized geometry; values from VASP
&SYSTEM
  ibrav = 0, nat = 4, ntyp = 3
/
ATOMIC_SPECIES
Fe 55.84 Fe.upf
Co 58.93 Co.upf
Tc 98.00 Tc.upf
CELL_PARAMETERS angstrom
-1.771 1.771 3.463
1.771 -1.771 3.463
1.771 1.771 -3.463
ATOMIC_POSITIONS crystal
Fe 0.250 0.750 0.500
Fe 0.750 0.250 0.500
Co 0.000 0.000 0.000
Tc 0.500 0.500 0.000
! **Crystal system**: tetragonal
! **Total magnetization**: 0.01 μB per formula unit
! **DOS(E_F)**: 1.324 states/eV per atom
! **Calculated volume**: 10.866 Å³/atom

b.
! Fe2CoTc | Alexandria | GGA-PBEsol | optimized geometry; values from VASP
&SYSTEM
  ibrav = 0, nat = 4, ntyp = 3
/
ATOMIC_SPECIES
Fe 55.84 Fe.upf
Co 58.93 Co.upf
Tc 98.00 Tc.upf
CELL_PARAMETERS angstrom
2.510 0.000 0.000
0.000 2.510 0.000
0.000 0.000 7.052
ATOMIC_POSITIONS crystal
Fe 0.000 0.000 0.000
Fe 0.500 0.500 0.235
Co 0.500 0.500 0.761
Tc 0.000 0.000 0.501
! **Crystal system**: tetragonal
! **Total magnetization**: 1.50 μB per formula unit
! **DOS(E_F)**: 1.339 states/eV per atom
! **Calculated volume**: 11.107 Å³/atom

c.
! Fe2CoTc | Alexandria | GGA-PBEsol | optimized geometry; values from VASP
&SYSTEM
  ibrav = 0, nat = 4, ntyp = 3
/
ATOMIC_SPECIES
Fe 55.84 Fe.upf
Co 58.93 Co.upf
Tc 98.00 Tc.upf
CELL_PARAMETERS angstrom
4.159 -1.263 0.000
4.159 1.263 0.000
-0.757 0.000 4.278
ATOMIC_POSITIONS crystal
Fe 0.000 0.000 0.000
Fe 0.748 0.748 0.244
Co 0.255 0.255 0.757
Tc 0.504 0.504 0.506
! **Crystal system**: monoclinic
! **Total magnetization**: 3.73 μB per formula unit
! **DOS(E_F)**: 1.346 states/eV per atom
! **Calculated volume**: 11.240 Å³/atom

d.
! Fe2CoTc | Alexandria | GGA-PBEsol | optimized geometry; values from VASP
&SYSTEM
  ibrav = 0, nat = 4, ntyp = 3
/
ATOMIC_SPECIES
Fe 55.84 Fe.upf
Co 58.93 Co.upf
Tc 98.00 Tc.upf
CELL_PARAMETERS angstrom
1.281 0.740 8.135
-1.281 0.740 8.135
0.000 -1.479 8.135
ATOMIC_POSITIONS crystal
Fe 0.247 0.247 0.247
Fe 0.753 0.753 0.753
Co 0.500 0.500 0.500
Tc 0.000 0.000 0.000
! **Crystal system**: trigonal
! **Total magnetization**: 4.93 μB per formula unit
! **DOS(E_F)**: 1.240 states/eV per atom
! **Calculated volume**: 11.562 Å³/atom

Name the most stable of them. a.

a.
! FeCoTc2 | Alexandria | GGA-PBEsol | optimized geometry; values from VASP
&SYSTEM
  ibrav = 0, nat = 4, ntyp = 3
/
ATOMIC_SPECIES
Fe 55.84 Fe.upf
Co 58.93 Co.upf
Tc 98.00 Tc.upf
CELL_PARAMETERS angstrom
0.000 2.931 2.931
2.931 0.000 2.931
2.931 2.931 0.000
ATOMIC_POSITIONS crystal
Fe 0.000 0.000 0.000
Co 0.250 0.250 0.250
Tc 0.500 0.500 0.500
Tc 0.750 0.750 0.750
! **Crystal system**: cubic
! **Total magnetization**: 4.21 μB per formula unit
! **DOS(E_F)**: 1.509 states/eV per atom
! **Calculated volume**: 12.586 Å³/atom

b.
! FeCoTc2 | Alexandria | GGA-PBEsol | optimized geometry; values from VASP
&SYSTEM
  ibrav = 0, nat = 4, ntyp = 3
/
ATOMIC_SPECIES
Fe 55.84 Fe.upf
Co 58.93 Co.upf
Tc 98.00 Tc.upf
CELL_PARAMETERS angstrom
2.566 0.000 0.000
0.000 3.946 0.000
-1.291 0.000 4.711
ATOMIC_POSITIONS crystal
Fe 0.000 0.000 0.000
Co 0.866 0.500 0.735
Tc 0.267 0.000 0.538
Tc 0.599 0.500 0.198
! **Crystal system**: monoclinic
! **Total magnetization**: 0.69 μB per formula unit
! **DOS(E_F)**: 1.199 states/eV per atom
! **Calculated volume**: 11.926 Å³/atom

Name the most stable of them. b.

a.
! Tl2FeCo | Alexandria | GGA-PBEsol | optimized geometry; values from VASP
&SYSTEM
  ibrav = 0, nat = 4, ntyp = 3
/
ATOMIC_SPECIES
Tl 204.38 Tl.upf
Fe 55.84 Fe.upf
Co 58.93 Co.upf
CELL_PARAMETERS angstrom
4.504 0.000 0.000
0.000 4.504 0.000
0.000 0.000 3.184
ATOMIC_POSITIONS crystal
Tl 0.000 0.500 0.000
Tl 0.500 0.000 0.000
Fe 0.000 0.000 0.500
Co 0.500 0.500 0.500
! **Crystal system**: tetragonal
! **Total magnetization**: 3.03 μB per formula unit
! **DOS(E_F)**: 1.398 states/eV per atom
! **Calculated volume**: 16.145 Å³/atom

b.
! Tl2FeCo | Alexandria | GGA-PBEsol | optimized geometry; values from VASP
&SYSTEM
  ibrav = 0, nat = 4, ntyp = 3
/
ATOMIC_SPECIES
Tl 204.38 Tl.upf
Fe 55.84 Fe.upf
Co 58.93 Co.upf
CELL_PARAMETERS angstrom
-1.499 2.205 5.397
1.499 -2.205 5.397
1.499 2.205 -5.397
ATOMIC_POSITIONS crystal
Tl 0.000 0.000 0.000
Tl 0.718 0.218 0.500
Fe 0.410 0.410 0.000
Co 0.245 0.745 0.500
! **Crystal system**: orthorhombic
! **Total magnetization**: 3.98 μB per formula unit
! **DOS(E_F)**: 0.874 states/eV per atom
! **Calculated volume**: 17.846 Å³/atom

c.
! Tl2FeCo | Alexandria | GGA-PBEsol | optimized geometry; values from VASP
&SYSTEM
  ibrav = 0, nat = 4, ntyp = 3
/
ATOMIC_SPECIES
Tl 204.38 Tl.upf
Fe 55.84 Fe.upf
Co 58.93 Co.upf
CELL_PARAMETERS angstrom
-1.937 1.937 4.452
1.937 -1.937 4.452
1.937 1.937 -4.452
ATOMIC_POSITIONS crystal
Tl 0.000 0.000 0.000
Tl 0.750 0.250 0.500
Fe 0.250 0.750 0.500
Co 0.500 0.500 0.000
! **Crystal system**: tetragonal
! **Total magnetization**: 3.40 μB per formula unit
! **DOS(E_F)**: 1.052 states/eV per atom
! **Calculated volume**: 16.698 Å³/atom

Name the most stable of them. b.

a.
! YFeCo2 | Alexandria | GGA-PBEsol | optimized geometry; values from VASP
&SYSTEM
  ibrav = 0, nat = 4, ntyp = 3
/
ATOMIC_SPECIES
Y 88.91 Y.upf
Fe 55.84 Fe.upf
Co 58.93 Co.upf
CELL_PARAMETERS angstrom
0.000 3.048 3.048
3.048 0.000 3.048
3.048 3.048 0.000
ATOMIC_POSITIONS crystal
Y 0.000 0.000 0.000
Fe 0.500 0.500 0.500
Co 0.250 0.250 0.250
Co 0.750 0.750 0.750
! **Crystal system**: cubic
! **Total magnetization**: 5.03 μB per formula unit
! **DOS(E_F)**: 0.426 states/eV per atom
! **Calculated volume**: 14.153 Å³/atom

b.
! YFeCo2 | Alexandria | GGA-PBEsol | optimized geometry; values from VASP
&SYSTEM
  ibrav = 0, nat = 4, ntyp = 3
/
ATOMIC_SPECIES
Y 88.91 Y.upf
Fe 55.84 Fe.upf
Co 58.93 Co.upf
CELL_PARAMETERS angstrom
1.964 1.134 4.669
-1.964 1.134 4.669
0.000 -2.267 4.669
ATOMIC_POSITIONS crystal
Y 0.000 0.000 0.000
Fe 0.500 0.500 0.500
Co 0.193 0.193 0.193
Co 0.807 0.807 0.807
! **Crystal system**: trigonal
! **Total magnetization**: 3.41 μB per formula unit
! **DOS(E_F)**: 1.063 states/eV per atom
! **Calculated volume**: 15.589 Å³/atom

c.
! YFeCo2 | Alexandria | GGA-PBEsol | optimized geometry; values from VASP
&SYSTEM
  ibrav = 0, nat = 4, ntyp = 3
/
ATOMIC_SPECIES
Y 88.91 Y.upf
Fe 55.84 Fe.upf
Co 58.93 Co.upf
CELL_PARAMETERS angstrom
-1.554 2.121 4.313
1.554 -2.121 4.313
1.554 2.121 -4.313
ATOMIC_POSITIONS crystal
Y 0.000 0.000 0.000
Fe 0.728 0.228 0.500
Co 0.268 0.768 0.500
Co 0.502 0.502 0.000
! **Crystal system**: orthorhombic
! **Total magnetization**: 5.14 μB per formula unit
! **DOS(E_F)**: 0.884 states/eV per atom
! **Calculated volume**: 14.211 Å³/atom

d.
! YFeCo2 | Alexandria | GGA-PBEsol | optimized geometry; values from VASP
&SYSTEM
  ibrav = 0, nat = 4, ntyp = 3
/
ATOMIC_SPECIES
Y 88.91 Y.upf
Fe 55.84 Fe.upf
Co 58.93 Co.upf
CELL_PARAMETERS angstrom
0.000 3.024 3.024
3.024 0.000 3.024
3.024 3.024 0.000
ATOMIC_POSITIONS crystal
Y 0.000 0.000 0.000
Fe 0.750 0.750 0.750
Co 0.250 0.250 0.250
Co 0.500 0.500 0.500
! **Crystal system**: cubic
! **Total magnetization**: 4.51 μB per formula unit
! **DOS(E_F)**: 1.217 states/eV per atom
! **Calculated volume**: 13.833 Å³/atom

Name the most stable of them. b.

a.
! ZnFeCo3 | Alexandria | GGA-PBEsol | optimized geometry; values from VASP
&SYSTEM
  ibrav = 0, nat = 5, ntyp = 3
/
ATOMIC_SPECIES
Zn 65.41 Zn.upf
Fe 55.84 Fe.upf
Co 58.93 Co.upf
CELL_PARAMETERS angstrom
4.152 0.000 0.000
0.000 4.152 0.000
0.000 0.000 4.152
ATOMIC_POSITIONS crystal
Zn 0.000 0.000 0.000
Fe 0.500 0.500 0.500
Co 0.000 0.500 0.500
Co 0.500 0.000 0.500
Co 0.500 0.500 0.000
! **Crystal system**: cubic
! **Total magnetization**: 6.13 μB per formula unit
! **DOS(E_F)**: 2.063 states/eV per atom
! **Calculated volume**: 14.311 Å³/atom

b.
! ZnFeCo3 | Alexandria | GGA-PBEsol | optimized geometry; values from VASP
&SYSTEM
  ibrav = 0, nat = 5, ntyp = 3
/
ATOMIC_SPECIES
Zn 65.41 Zn.upf
Fe 55.84 Fe.upf
Co 58.93 Co.upf
CELL_PARAMETERS angstrom
4.187 0.000 0.000
0.000 4.187 0.000
0.000 0.000 4.187
ATOMIC_POSITIONS crystal
Zn 0.000 0.000 0.000
Fe 0.500 0.500 0.500
Co 0.000 0.000 0.500
Co 0.000 0.500 0.000
Co 0.500 0.000 0.000
! **Crystal system**: cubic
! **Total magnetization**: 7.51 μB per formula unit
! **DOS(E_F)**: 1.572 states/eV per atom
! **Calculated volume**: 14.679 Å³/atom

Name the most stable of them. a.

a.
! Na2CoGeO4 | Alexandria | GGA-PBEsol | optimized geometry; values from VASP
&SYSTEM
  ibrav = 0, nat = 16, ntyp = 4
/
ATOMIC_SPECIES
Na 22.99 Na.upf
Co 58.93 Co.upf
Ge 72.64 Ge.upf
O 16.00 O.upf
CELL_PARAMETERS angstrom
5.318 0.000 0.000
0.000 5.597 0.000
-5.313 0.000 7.139
ATOMIC_POSITIONS crystal
Na 0.000 0.176 0.000
Na 0.000 0.824 0.500
Na 0.257 0.322 0.755
Na 0.257 0.678 0.255
Co 0.497 0.185 0.508
Co 0.497 0.815 0.008
Ge 0.737 0.315 0.253
Ge 0.737 0.685 0.753
O 0.088 0.207 0.459
O 0.088 0.793 0.959
O 0.435 0.291 0.281
O 0.435 0.709 0.781
O 0.619 0.152 0.049
O 0.619 0.848 0.549
O 0.792 0.379 0.725
O 0.792 0.621 0.225
! **Crystal system**: monoclinic
! **Total magnetization**: 3.00 μB per formula unit
! **DOS(E_F)**: 0.155 states/eV per atom
! **Calculated volume**: 13.282 Å³/atom

b.
! Na2CoGeO4 | Alexandria | GGA-PBEsol | optimized geometry; values from VASP
&SYSTEM
  ibrav = 0, nat = 16, ntyp = 4
/
ATOMIC_SPECIES
Na 22.99 Na.upf
Co 58.93 Co.upf
Ge 72.64 Ge.upf
O 16.00 O.upf
CELL_PARAMETERS angstrom
6.362 0.000 0.000
0.000 6.207 0.000
0.000 0.000 5.350
ATOMIC_POSITIONS crystal
Na 0.248 0.165 0.000
Na 0.252 0.835 0.500
Na 0.748 0.835 0.500
Na 0.752 0.165 0.000
Co 0.000 0.349 0.506
Co 0.500 0.651 0.006
Ge 0.000 0.651 0.012
Ge 0.500 0.349 0.512
O 0.000 0.396 0.867
O 0.000 0.622 0.341
O 0.231 0.801 0.932
O 0.269 0.199 0.432
O 0.500 0.378 0.841
O 0.500 0.604 0.367
O 0.731 0.199 0.432
O 0.769 0.801 0.932
! **Crystal system**: orthorhombic
! **Total magnetization**: 3.00 μB per formula unit
! **DOS(E_F)**: 0.242 states/eV per atom
! **Calculated volume**: 13.204 Å³/atom

Name the most stable of them. a.

a.
! CoReGe2 | Alexandria | GGA-PBEsol | optimized geometry; values from VASP
&SYSTEM
  ibrav = 0, nat = 4, ntyp = 3
/
ATOMIC_SPECIES
Co 58.93 Co.upf
Re 186.21 Re.upf
Ge 72.64 Ge.upf
CELL_PARAMETERS angstrom
0.000 3.021 3.021
3.021 0.000 3.021
3.021 3.021 0.000
ATOMIC_POSITIONS crystal
Co 0.000 0.000 0.000
Re 0.250 0.250 0.250
Ge 0.500 0.500 0.500
Ge 0.750 0.750 0.750
! **Crystal system**: cubic
! **Total magnetization**: 0.34 μB per formula unit
! **DOS(E_F)**: 0.949 states/eV per atom
! **Calculated volume**: 13.790 Å³/atom

b.
! CoReGe2 | Alexandria | GGA-PBEsol | optimized geometry; values from VASP
&SYSTEM
  ibrav = 0, nat = 4, ntyp = 3
/
ATOMIC_SPECIES
Co 58.93 Co.upf
Re 186.21 Re.upf
Ge 72.64 Ge.upf
CELL_PARAMETERS angstrom
0.000 2.975 2.975
2.975 0.000 2.975
2.975 2.975 0.000
ATOMIC_POSITIONS crystal
Co 0.000 0.000 0.000
Re 0.500 0.500 0.500
Ge 0.250 0.250 0.250
Ge 0.750 0.750 0.750
! **Crystal system**: cubic
! **Total magnetization**: 0.00 μB per formula unit
! **DOS(E_F)**: 0.173 states/eV per atom
! **Calculated volume**: 13.168 Å³/atom

Name the most stable of them. b.

a.
! NbCo3H | Alexandria | GGA-PBEsol | optimized geometry; values from VASP
&SYSTEM
  ibrav = 0, nat = 10, ntyp = 3
/
ATOMIC_SPECIES
Nb 92.91 Nb.upf
Co 58.93 Co.upf
H 1.01 H.upf
CELL_PARAMETERS angstrom
5.165 0.000 0.000
-2.583 4.473 0.000
0.000 0.000 4.173
ATOMIC_POSITIONS crystal
Nb 0.333 0.667 0.250
Nb 0.667 0.333 0.750
Co 0.164 0.328 0.750
Co 0.164 0.836 0.750
Co 0.328 0.164 0.250
Co 0.672 0.836 0.750
Co 0.836 0.164 0.250
Co 0.836 0.672 0.250
H 0.000 0.000 0.000
H 0.000 0.000 0.500
! **Crystal system**: hexagonal
! **Total magnetization**: 0.96 μB per formula unit
! **DOS(E_F)**: 0.515 states/eV per atom
! **Calculated volume**: 9.642 Å³/atom

b.
! NbCo3H | Alexandria | GGA-PBEsol | optimized geometry; values from VASP
&SYSTEM
  ibrav = 0, nat = 5, ntyp = 3
/
ATOMIC_SPECIES
Nb 92.91 Nb.upf
Co 58.93 Co.upf
H 1.01 H.upf
CELL_PARAMETERS angstrom
4.411 0.000 0.000
0.000 4.411 0.000
0.000 0.000 4.411
ATOMIC_POSITIONS crystal
Nb 0.000 0.000 0.000
Co 0.000 0.000 0.500
Co 0.000 0.500 0.000
Co 0.500 0.000 0.000
H 0.500 0.500 0.500
! **Crystal system**: cubic
! **Total magnetization**: 1.32 μB per formula unit
! **DOS(E_F)**: 1.998 states/eV per atom
! **Calculated volume**: 17.166 Å³/atom

Name the most stable of them. a.